Entry A
# LaGdBi2 (PBE-GGA, optimized geometry)
data_LaGdBi2
_chemical_formula_sum 'La1 Gd1 Bi2'
_cell_length_a 3.502
_cell_length_b 5.970
_cell_length_c 5.970
_cell_angle_alpha 90.00
_cell_angle_beta 90.00
_cell_angle_gamma 90.00
_symmetry_space_group_name_H-M 'P 1'
_symmetry_Int_Tables_number 1
loop_
_symmetry_equiv_pos_as_xyz
'x,y,z'
loop_
_atom_site_label
_atom_site_fract_x
_atom_site_fract_y
_atom_site_fract_z
Bi1 0.000 0.000 0.500
Bi2 0.000 0.500 0.000
La1 0.500 0.000 0.000
Gd1 0.500 0.500 0.500
# Mass density, g/cm³: 9.5
# Calculated volume, Å³ per cell: 124.8

Entry B
# LaGdBi2 (PBE-GGA, optimized geometry)
data_LaGdBi2
_chemical_formula_sum 'La1 Gd1 Bi2'
_cell_length_a 4.617
_cell_length_b 4.617
_cell_length_c 7.978
_cell_angle_alpha 73.18
_cell_angle_beta 73.18
_cell_angle_gamma 60.00
_symmetry_space_group_name_H-M 'P 1'
_symmetry_Int_Tables_number 1
loop_
_symmetry_equiv_pos_as_xyz
'x,y,z'
loop_
_atom_site_label
_atom_site_fract_x
_atom_site_fract_y
_atom_site_fract_z
Bi1 0.754 0.754 0.739
Bi2 0.246 0.246 0.261
Gd1 0.500 0.500 0.500
La1 0.000 0.000 0.000
# Mass density, g/cm³: 8.5
# Calculated volume, Å³ per cell: 138.8

The most stable of them is entry B.

Entry A
# Li2GdBi (PBE-GGA, optimized geometry)
data_Li2GdBi
_chemical_formula_sum 'Li2 Gd1 Bi1'
_cell_length_a 3.390
_cell_length_b 3.390
_cell_length_c 11.408
_cell_angle_alpha 81.46
_cell_angle_beta 81.46
_cell_angle_gamma 60.00
_symmetry_space_group_name_H-M 'P 1'
_symmetry_Int_Tables_number 1
loop_
_symmetry_equiv_pos_as_xyz
'x,y,z'
loop_
_atom_site_label
_atom_site_fract_x
_atom_site_fract_y
_atom_site_fract_z
Li1 0.903 0.903 0.292
Li2 0.097 0.097 0.708
Bi1 0.500 0.500 0.500
Gd1 0.000 0.000 0.000
# Mass density, g/cm³: 5.6
# Calculated volume, Å³ per cell: 111.9

Entry B
# Li2GdBi (PBE-GGA, optimized geometry)
data_Li2GdBi
_chemical_formula_sum 'Li2 Gd1 Bi1'
_cell_length_a 4.924
_cell_length_b 4.496
_cell_length_c 4.496
_cell_angle_alpha 90.00
_cell_angle_beta 90.00
_cell_angle_gamma 90.00
_symmetry_space_group_name_H-M 'P 1'
_symmetry_Int_Tables_number 1
loop_
_symmetry_equiv_pos_as_xyz
'x,y,z'
loop_
_atom_site_label
_atom_site_fract_x
_atom_site_fract_y
_atom_site_fract_z
Li1 0.000 0.500 0.000
Li2 0.000 0.000 0.500
Gd1 0.500 0.500 0.500
Bi1 0.500 0.000 0.000
# Mass density, g/cm³: 6.3
# Calculated volume, Å³ per cell: 99.5

The most stable of them is entry B.

Entry A
# GdLu2Bi (PBE-GGA, optimized geometry)
data_GdLu2Bi
_chemical_formula_sum 'Gd1 Lu2 Bi1'
_cell_length_a 4.047
_cell_length_b 4.047
_cell_length_c 7.131
_cell_angle_alpha 90.00
_cell_angle_beta 90.00
_cell_angle_gamma 90.00
_symmetry_space_group_name_H-M 'P 1'
_symmetry_Int_Tables_number 1
loop_
_symmetry_equiv_pos_as_xyz
'x,y,z'
loop_
_atom_site_label
_atom_site_fract_x
_atom_site_fract_y
_atom_site_fract_z
Lu1 0.000 0.000 0.766
Lu2 0.000 0.000 0.234
Gd1 0.500 0.500 0.500
Bi1 0.500 0.500 0.000
# Mass density, g/cm³: 10.2
# Calculated volume, Å³ per cell: 116.8

Entry B
# GdLu2Bi (PBE-GGA, optimized geometry)
data_GdLu2Bi
_chemical_formula_sum 'Gd1 Lu2 Bi1'
_cell_length_a 4.802
_cell_length_b 4.871
_cell_length_c 4.871
_cell_angle_alpha 90.00
_cell_angle_beta 90.00
_cell_angle_gamma 90.00
_symmetry_space_group_name_H-M 'P 1'
_symmetry_Int_Tables_number 1
loop_
_symmetry_equiv_pos_as_xyz
'x,y,z'
loop_
_atom_site_label
_atom_site_fract_x
_atom_site_fract_y
_atom_site_fract_z
Lu1 0.000 0.500 0.000
Lu2 0.000 0.000 0.500
Bi1 0.500 0.000 0.000
Gd1 0.500 0.500 0.500
# Mass density, g/cm³: 10.4
# Calculated volume, Å³ per cell: 113.9

Entry C
# GdLu2Bi (PBE-GGA, optimized geometry)
data_GdLu2Bi
_chemical_formula_sum 'Gd1 Lu2 Bi1'
_cell_length_a 3.515
_cell_length_b 3.515
_cell_length_c 12.019
_cell_angle_alpha 81.59
_cell_angle_beta 81.59
_cell_angle_gamma 60.00
_symmetry_space_group_name_H-M 'P 1'
_symmetry_Int_Tables_number 1
loop_
_symmetry_equiv_pos_as_xyz
'x,y,z'
loop_
_atom_site_label
_atom_site_fract_x
_atom_site_fract_y
_atom_site_fract_z
Gd1 0.500 0.500 0.500
Bi1 0.000 0.000 0.000
Lu1 0.088 0.088 0.737
Lu2 0.912 0.912 0.263
# Mass density, g/cm³: 9.4
# Calculated volume, Å³ per cell: 126.7

The most stable of them is entry B.

Entry A
# Gd2MgBi (PBE-GGA, optimized geometry)
data_Gd2MgBi
_chemical_formula_sum 'Gd2 Mg1 Bi1'
_cell_length_a 4.512
_cell_length_b 5.002
_cell_length_c 5.002
_cell_angle_alpha 90.00
_cell_angle_beta 90.00
_cell_angle_gamma 90.00
_symmetry_space_group_name_H-M 'P 1'
_symmetry_Int_Tables_number 1
loop_
_symmetry_equiv_pos_as_xyz
'x,y,z'
loop_
_atom_site_label
_atom_site_fract_x
_atom_site_fract_y
_atom_site_fract_z
Bi1 0.500 0.500 0.500
Gd1 0.000 0.500 0.000
Gd2 0.000 0.000 0.500
Mg1 0.500 0.000 0.000
# Mass density, g/cm³: 8.1
# Calculated volume, Å³ per cell: 112.9

Entry B
# Gd2MgBi (PBE-GGA, optimized geometry)
data_Gd2MgBi
_chemical_formula_sum 'Gd2 Mg1 Bi1'
_cell_length_a 4.078
_cell_length_b 4.078
_cell_length_c 6.848
_cell_angle_alpha 90.00
_cell_angle_beta 90.00
_cell_angle_gamma 90.00
_symmetry_space_group_name_H-M 'P 1'
_symmetry_Int_Tables_number 1
loop_
_symmetry_equiv_pos_as_xyz
'x,y,z'
loop_
_atom_site_label
_atom_site_fract_x
_atom_site_fract_y
_atom_site_fract_z
Gd1 0.000 0.000 0.754
Gd2 0.000 0.000 0.246
Mg1 0.500 0.500 0.500
Bi1 0.500 0.500 0.000
# Mass density, g/cm³: 8.0
# Calculated volume, Å³ per cell: 113.9

The most stable of them is entry B.